Here is a relaxed structure of Pr2Cd3Au2 from the Alexandria database. Energies are from GGA-PBE.

Cell: 4.723 5.669 7.494 Å, 107.24 90.00 114.62°
Element x y z (fractional)
Pr  0.862  0.723  0.220
Pr  0.138  0.277  0.780
Cd  0.500  0.000  0.000
Cd  0.618  0.237  0.432
Cd  0.382  0.763  0.568
Au  0.836  0.673  0.791
Au  0.164  0.327  0.209

Results
Density of states at the Fermi level in states/eV/f.u.: 4.542
DFT formation energy in eV per atom: -0.5417
Distance to the lowest polymorph of the same formula in eV/f.u.: 0.00